No. 1
DFT (PBE) results for a relaxed Tl2FeCuCl6 crystal. Values from VASP.

## Properties
* calculated density: 5.1 g/cm3
* raw total energy: -3.618 eV/atom

Structure (Quantum ESPRESSO input):
```
&SYSTEM
  ibrav = 0, nat = 10, ntyp = 4
/
ATOMIC_SPECIES
Cl 35.45 Cl.upf
Cu 63.55 Cu.upf
Tl 204.38 Tl.upf
Fe 55.84 Fe.upf
ATOMIC_POSITIONS crystal
Cl 0.7530 0.7531 0.4939
Cu 0.0000 0.0000 0.0000
Tl 0.2501 0.7500 0.5000
Cl 0.2470 0.2469 0.5061
Cl 0.2472 0.7529 0.0000
Fe 0.5000 0.5000 0.0000
Cl 0.7528 0.2471 0.0000
Tl 0.7499 0.2500 0.5000
Cl 0.7309 0.7308 0.9997
Cl 0.2691 0.2692 0.0003
CELL_PARAMETERS angstrom
-2.9925 -5.9124 2.4730
6.1918 -3.3619 0.6225
2.0510 -2.9698 6.0860
```

---

No. 2
DFT (PBE) results for a relaxed CdAg2PbF8 crystal. Values from VASP.

## Properties
* calculated density: 6.5 g/cm3
* raw total energy: -3.779 eV/atom

Structure (Quantum ESPRESSO input):
```
&SYSTEM
  ibrav = 0, nat = 12, ntyp = 4
/
ATOMIC_SPECIES
F 19.00 F.upf
Cd 112.41 Cd.upf
Pb 207.20 Pb.upf
Ag 107.87 Ag.upf
ATOMIC_POSITIONS crystal
F 0.1054 0.6382 0.7580
F 0.1040 0.1192 0.7565
Cd 0.7500 0.2500 0.5000
F 0.6526 0.1198 0.7580
F 0.3627 0.8960 0.2435
F 0.6525 0.6373 0.7565
F 0.3618 0.3474 0.2420
F 0.8808 0.3475 0.2435
Pb 0.0000 0.0000 0.0000
Ag 0.2500 0.7500 0.5000
Ag 0.5000 0.5000 0.0000
F 0.8802 0.8946 0.2420
CELL_PARAMETERS angstrom
-0.0549 -5.6051 0.7238
3.7204 0.5091 4.2242
-5.9582 3.0499 1.0989
```

---

No. 3
DFT (PBE) results for a relaxed Zn2W crystal. Values from VASP.

## Properties
* calculated density: 12.4 g/cm3
* energy above the most stable polymorph in this dataset: 0.000 eV/atom
* energy relative to the elements: 0.44 eV per formula unit
* raw total energy: -5.021 eV/atom

Structure (Quantum ESPRESSO input):
```
&SYSTEM
  ibrav = 0, nat = 12, ntyp = 2
/
ATOMIC_SPECIES
Zn 65.41 Zn.upf
W 183.84 W.upf
ATOMIC_POSITIONS crystal
Zn 0.8286 0.8286 0.7500
W 0.6667 0.6667 0.0646
Zn 0.0000 0.0000 0.5000
Zn 0.3427 0.8286 0.7500
Zn 0.6573 0.1714 0.2500
Zn 0.8286 0.3427 0.7500
W 0.3333 0.3333 0.9354
Zn 0.1714 0.1714 0.2500
Zn 0.1714 0.6573 0.2500
W 0.3333 0.3333 0.5646
W 0.6667 0.6667 0.4354
Zn 0.0000 0.0000 0.0000
CELL_PARAMETERS angstrom
-3.5719 -2.4803 2.3007
0.8311 -1.9633 4.4337
-2.4774 6.7858 3.4692
```

---

No. 4
DFT (PBE) results for a relaxed SmPbF crystal. Values from VASP.

## Properties
* calculated density: 8.1 g/cm3
* energy above the most stable polymorph in this dataset: 0.137 eV/atom
* raw total energy: -5.158 eV/atom

Structure (Quantum ESPRESSO input):
```
&SYSTEM
  ibrav = 0, nat = 6, ntyp = 3
/
ATOMIC_SPECIES
F 19.00 F.upf
Sm 150.36 Sm.upf
Pb 207.20 Pb.upf
ATOMIC_POSITIONS crystal
F 0.7261 0.7261 0.4993
Sm 0.6041 0.6041 0.7077
Pb 0.7955 0.7955 0.0898
Sm 0.3959 0.3959 0.2923
Pb 0.2045 0.2045 0.9102
F 0.2739 0.2739 0.5007
CELL_PARAMETERS angstrom
4.1398 -0.0338 -0.0405
-0.0540 4.1396 -0.0405
-1.9256 -1.9349 8.9967
```

---

No. 5
DFT (PBE) results for a relaxed Mg2Cd5In12 crystal. Values from VASP.

## Properties
* calculated density: 6.7 g/cm3
* energy relative to the elements: 0.53 eV per formula unit
* raw total energy: -2.110 eV/atom

Structure (Quantum ESPRESSO input):
```
&SYSTEM
  ibrav = 0, nat = 19, ntyp = 3
/
ATOMIC_SPECIES
In 114.82 In.upf
Cd 112.41 Cd.upf
Mg 24.30 Mg.upf
ATOMIC_POSITIONS crystal
In 0.8069 0.9271 0.4616
Cd 0.8302 0.3104 0.3104
Mg 0.0000 0.2473 0.7527
In 0.1931 0.0729 0.5384
In 0.2756 0.4472 0.4472
In 0.9568 0.1054 0.1054
In 0.7244 0.5528 0.5528
Cd 0.1698 0.6896 0.6896
Cd 0.4107 0.2076 0.2076
In 0.8069 0.4616 0.9271
In 0.3878 0.8455 0.3575
Cd 0.5000 0.0000 0.0000
In 0.6122 0.1545 0.6425
In 0.0432 0.8946 0.8946
Cd 0.5893 0.7924 0.7924
In 0.3878 0.3575 0.8455
Mg 0.0000 0.7527 0.2473
In 0.6122 0.6425 0.1545
In 0.1931 0.5384 0.0729
CELL_PARAMETERS angstrom
5.6685 -0.1405 1.0196
1.1412 8.6860 4.0722
-0.0904 -0.5761 9.6432
```

---

No. 6
DFT (PBE) results for a relaxed Na5Bi6Pb crystal. Values from VASP.

## Properties
* calculated density: 7.3 g/cm3
* energy relative to the elements: -3.03 eV per formula unit
* raw total energy: -3.052 eV/atom

Structure (Quantum ESPRESSO input):
```
&SYSTEM
  ibrav = 0, nat = 12, ntyp = 3
/
ATOMIC_SPECIES
Na 22.99 Na.upf
Bi 208.98 Bi.upf
Pb 207.20 Pb.upf
ATOMIC_POSITIONS crystal
Na 0.3323 0.3339 0.0000
Bi 0.4999 0.0000 0.7470
Na 0.6686 0.6664 0.5000
Bi 0.5001 0.0000 0.2530
Na 0.6677 0.6661 0.0000
Bi 0.8280 0.3365 0.7489
Bi 0.8283 0.3365 0.2511
Na 0.3314 0.3336 0.5000
Bi 0.1720 0.6635 0.2511
Pb 0.0000 0.0000 0.0000
Bi 0.1717 0.6635 0.7489
Na 0.0000 0.0000 0.5000
CELL_PARAMETERS angstrom
-4.2603 2.3960 0.3618
-4.7102 -2.8691 -5.3727
-3.2536 -6.7617 6.4634
```

---

Q: Among the records above, which one has the lowest raw total energy?
A: SmPbF

---

Q: calculated density of number 6 (Na5Bi6Pb)?
A: 7.3 g/cm3

---

Repeat the third record exactly.
DFT (PBE) results for a relaxed Zn2W crystal. Values from VASP.

## Properties
* calculated density: 12.4 g/cm3
* energy above the most stable polymorph in this dataset: 0.000 eV/atom
* energy relative to the elements: 0.44 eV per formula unit
* raw total energy: -5.021 eV/atom

Structure (Quantum ESPRESSO input):
```
&SYSTEM
  ibrav = 0, nat = 12, ntyp = 2
/
ATOMIC_SPECIES
Zn 65.41 Zn.upf
W 183.84 W.upf
ATOMIC_POSITIONS crystal
Zn 0.8286 0.8286 0.7500
W 0.6667 0.6667 0.0646
Zn 0.0000 0.0000 0.5000
Zn 0.3427 0.8286 0.7500
Zn 0.6573 0.1714 0.2500
Zn 0.8286 0.3427 0.7500
W 0.3333 0.3333 0.9354
Zn 0.1714 0.1714 0.2500
Zn 0.1714 0.6573 0.2500
W 0.3333 0.3333 0.5646
W 0.6667 0.6667 0.4354
Zn 0.0000 0.0000 0.0000
CELL_PARAMETERS angstrom
-3.5719 -2.4803 2.3007
0.8311 -1.9633 4.4337
-2.4774 6.7858 3.4692
```

---

Q: What is the raw total energy in the third record?
A: -5.021 eV/atom